Arrangement P

Material: CdSiTc3
Method: DFT, GGA-PBE
State: optimized geometry

a b c (Å): 4.4514 4.4514 4.4514
angles (deg): 90.00 90.00 90.00
Fractional positions:
Si1 0.0000 0.0000 0.0000
Tc1 0.0000 0.5000 0.0000
Tc2 0.0000 0.0000 0.5000
Tc3 0.5000 0.0000 0.0000
Cd1 0.5000 0.5000 0.5000

Properties
The density of states at the Fermi level is 6.35 states/eV per cell. The total magnetization comes out at 0.00 μB per cell. As for the space-group type: Pm-3m, No. 221.

Arrangement Q

Material: CdSiTc3
Method: DFT, GGA-PBE
State: optimized geometry

a b c (Å): 4.8939 4.8939 4.8939
angles (deg): 90.00 90.00 90.00
Fractional positions:
Si1 0.5000 0.5000 0.5000
Tc1 0.0000 0.5000 0.0000
Tc2 0.0000 0.0000 0.5000
Tc3 0.5000 0.0000 0.0000
Cd1 0.0000 0.0000 0.0000

Properties
The density of states at the Fermi level is 3.10 states/eV per cell. The total magnetization comes out at 6.89 μB per cell. As for the space-group type: Pm-3m, No. 221.

Most stable pick: arrangement P. Distance to second place: 174.3 kJ/mol of atoms.

Arrangement P

Material: CdSiTe3
Method: DFT, GGA-PBE
State: optimized geometry

a b c (Å): 5.5331 5.5331 5.5331
angles (deg): 90.00 90.00 90.00
Fractional positions:
Si1 0.5000 0.5000 0.5000
Te1 0.0000 0.5000 0.0000
Te2 0.0000 0.0000 0.5000
Te3 0.5000 0.0000 0.0000
Cd1 0.0000 0.0000 0.0000

Properties
The density of states at the Fermi level is 3.62 states/eV per cell. The total magnetization comes out at 0.00 μB per cell. As for the space-group type: Pm-3m, No. 221.

Arrangement Q

Material: CdSiTe3
Method: DFT, GGA-PBE
State: optimized geometry

a b c (Å): 5.3001 5.3001 5.3001
angles (deg): 90.00 90.00 90.00
Fractional positions:
Si1 0.0000 0.0000 0.0000
Te1 0.0000 0.5000 0.0000
Te2 0.0000 0.0000 0.5000
Te3 0.5000 0.0000 0.0000
Cd1 0.5000 0.5000 0.5000

Properties
The density of states at the Fermi level is 3.89 states/eV per cell. The total magnetization comes out at 0.00 μB per cell. As for the space-group type: Pm-3m, No. 221.

Most stable pick: arrangement Q. Distance to second place: 48.7 kJ/mol of atoms.

Arrangement P

Material: CdSiTe
Method: DFT, GGA-PBE
State: optimized geometry

a b c (Å): 3.9493 3.9493 5.5711
angles (deg): 90.00 90.00 120.00
Fractional positions:
Cd1 0.0000 0.0000 0.0321
Si1 0.6667 0.3333 0.3409
Te1 0.3333 0.6667 0.6270

Properties
The density of states at the Fermi level is 1.35 states/eV per cell. The total magnetization comes out at 0.00 μB per cell. As for the space-group type: P3m1, No. 156.

Arrangement Q

Material: CdSiTe
Method: DFT, GGA-PBE
State: optimized geometry

a b c (Å): 6.1774 6.1774 6.1774
angles (deg): 146.30 146.30 48.40
Fractional positions:
Cd1 0.9875 0.9875 0.0000
Si1 0.3153 0.3153 0.0000
Te1 0.6972 0.6972 0.0000

Properties
The density of states at the Fermi level is 1.61 states/eV per cell. The total magnetization comes out at 0.00 μB per cell. As for the space-group type: I4mm, No. 107.

Most stable pick: arrangement P. Distance to second place: 16.5 kJ/mol of atoms.

Arrangement P

Material: CdSi2Te
Method: DFT, GGA-PBE
State: optimized geometry

a b c (Å): 4.5117 4.3894 4.3894
angles (deg): 90.00 90.00 90.00
Fractional positions:
Cd1 0.5000 0.0000 0.5000
Si1 0.0000 0.0000 0.0000
Si2 0.0000 0.5000 0.5000
Te1 0.5000 0.5000 0.0000

Properties
The density of states at the Fermi level is 2.24 states/eV per cell. The total magnetization comes out at 0.00 μB per cell. As for the space-group type: P4/mmm, No. 123.

Arrangement Q

Material: CdSi2Te
Method: DFT, GGA-PBE
State: optimized geometry

a b c (Å): 8.6053 6.4106 2.9300
angles (deg): 60.90 112.59 139.37
Fractional positions:
Cd1 0.5000 0.5000 0.0000
Si1 0.0000 0.0000 0.0000
Si2 0.5000 0.0000 0.5000
Te1 0.0000 0.5000 0.5000

Properties
The density of states at the Fermi level is 1.97 states/eV per cell. The total magnetization comes out at 0.00 μB per cell. As for the space-group type: C2/m, No. 12.

Arrangement R

Material: CdSi2Te
Method: DFT, GGA-PBE
State: optimized geometry

a b c (Å): 5.0672 5.0672 5.0672
angles (deg): 123.97 123.97 83.25
Fractional positions:
Cd1 0.7500 0.2500 0.5000
Si1 0.0000 0.0000 0.0000
Si2 0.2500 0.7500 0.5000
Te1 0.5000 0.5000 0.0000

Properties
The density of states at the Fermi level is 1.62 states/eV per cell. The total magnetization comes out at 0.00 μB per cell. As for the space-group type: I-4m2, No. 119.

Arrangement S

Material: CdSi2Te
Method: DFT, GGA-PBE
State: optimized geometry

a b c (Å): 3.9563 2.9295 7.6256
angles (deg): 89.98 90.00 90.00
Fractional positions:
Cd1 0.5000 0.7500 0.7500
Si1 0.0000 0.2504 0.9736
Si2 0.0000 0.2496 0.5264
Te1 0.5000 0.2500 0.2500

Properties
The density of states at the Fermi level is 1.81 states/eV per cell. The total magnetization comes out at 0.00 μB per cell. As for the space-group type: Pmmm, No. 47.

Most stable pick: arrangement S. Distance to second place: 1.6 kJ/mol of atoms.

Arrangement P

Material: CdSi2Te
Method: DFT, GGA-PBE
State: optimized geometry

a b c (Å): 3.8363 3.2337 7.6244
angles (deg): 89.99 90.00 90.00
Fractional positions:
Cd1 0.5000 0.7517 0.7863
Si1 0.0000 0.7511 0.1383
Si2 0.5000 0.2508 0.0804
Te1 0.0000 0.7464 0.4950

Properties
The density of states at the Fermi level is 1.27 states/eV per cell. The total magnetization comes out at 0.00 μB per cell. As for the space-group type: Pm, No. 6.

Arrangement Q

Material: CdSi2Te
Method: DFT, GGA-PBE
State: optimized geometry

a b c (Å): 5.6833 5.6833 5.6833
angles (deg): 143.07 127.55 65.87
Fractional positions:
Cd1 0.2500 0.7500 0.5000
Si1 0.9892 0.9892 0.0000
Si2 0.5108 0.5108 0.0000
Te1 0.7500 0.2500 0.5000

Properties
The density of states at the Fermi level is 1.70 states/eV per cell. The total magnetization comes out at 0.00 μB per cell. As for the space-group type: Immm, No. 71.

Most stable pick: arrangement P. Distance to second place: 28.0 kJ/mol of atoms.

Arrangement P

Material: CdSi2Te
Method: DFT, GGA-PBE
State: optimized geometry

a b c (Å): 3.2948 3.2948 8.2403
angles (deg): 90.00 90.00 105.69
Fractional positions:
Cd1 0.5000 0.5000 0.7873
Si1 0.0000 0.0000 0.0345
Si2 0.5000 0.5000 0.2020
Te1 0.0000 0.0000 0.4762

Properties
The density of states at the Fermi level is 1.80 states/eV per cell. The total magnetization comes out at 0.00 μB per cell. As for the space-group type: Cmm2, No. 35.

Arrangement Q

Material: CdSi2Te
Method: DFT, GGA-PBE
State: optimized geometry

a b c (Å): 3.5847 3.6721 7.2345
angles (deg): 90.00 90.00 90.00
Fractional positions:
Cd1 0.5000 0.5000 0.7411
Si1 0.0000 0.0000 0.1501
Si2 0.5000 0.5000 0.0969
Te1 0.0000 0.0000 0.5119

Properties
The density of states at the Fermi level is 1.68 states/eV per cell. The total magnetization comes out at 0.00 μB per cell. As for the space-group type: Pmm2, No. 25.

Most stable pick: arrangement Q. Distance to second place: 19.7 kJ/mol of atoms.